[1]
Material: CaSn4Pb
Method: DFT, PBE-GGA
State: relaxed

```
CaSn4Pb
1.0
2.798 -5.662 0.000
2.798 5.662 0.000
-0.972 0.000 5.392
Ca Sn Pb
1 4 1
Cartesian
0.000 0.000 0.000 Ca
2.312 3.699 2.696 Sn
2.798 2.080 0.000 Sn
2.798 -2.080 0.000 Sn
2.312 -3.699 2.696 Sn
2.312 0.000 2.696 Pb
```

Summary:
ΔE to the lowest computed polymorph (meV per atom): 0


[2]
Material: V3SnH
Method: DFT, PBE-GGA
State: relaxed

```
V3SnH
1.0
4.532 0.000 0.000
-0.014 5.117 0.000
-0.055 -0.770 5.492
V Sn H
6 2 2
Cartesian
0.000 0.000 0.000 V
4.503 -0.066 2.806 V
-0.018 2.187 4.136 V
2.213 3.341 3.320 V
2.316 4.011 0.611 V
2.318 1.063 1.981 V
0.022 2.575 1.445 Sn
2.220 0.691 4.652 Sn
1.110 -0.100 1.425 H
3.853 3.794 3.903 H
```

Summary:
Total energy (eV per cell): -70.4


[3]
Material: Al2S3
Method: DFT, PBE-GGA
State: relaxed

```
Al2S3
1.0
6.241 0.000 0.000
-2.516 7.810 0.000
-2.977 -2.739 18.382
Al S
12 18
Cartesian
0.000 0.000 0.000 Al
-3.288 4.371 9.082 Al
-2.444 6.014 3.511 Al
-0.508 4.045 0.105 Al
-1.987 4.733 6.257 Al
-3.556 3.573 17.340 Al
-1.320 2.076 9.967 Al
0.593 1.941 3.187 Al
-2.281 5.420 15.482 Al
-0.288 -0.394 17.389 Al
3.623 3.609 2.662 Al
1.687 6.464 8.724 Al
-0.496 0.073 2.290 S
-1.923 2.724 5.248 S
-1.169 0.662 8.306 S
-2.589 -0.603 17.514 S
-3.375 3.638 15.030 S
-0.280 3.901 2.375 S
0.105 2.183 5.370 S
-1.217 6.539 5.288 S
-0.964 4.235 8.531 S
-0.195 2.178 11.891 S
0.214 -0.265 15.169 S
-0.541 6.175 9.268 S
0.741 -2.556 17.727 S
2.662 1.599 2.547 S
3.376 4.087 0.192 S
1.354 3.405 11.226 S
2.086 4.889 6.972 S
2.591 2.219 9.877 S
```

Summary:
Formation energy from raw total energies (eV/atom): -0.5624


[4]
Material: ScAgHRh2
Method: DFT, PBE-GGA
State: relaxed

```
ScAgHRh2
1.0
4.076 0.000 0.000
0.000 4.076 0.000
0.000 0.000 4.003
Sc Ag H Rh
1 1 1 2
Cartesian
0.000 0.000 0.000 Sc
2.038 2.038 0.000 Ag
2.038 2.038 2.001 H
0.000 2.038 2.001 Rh
2.038 0.000 2.001 Rh
```

Summary:
ΔE to the lowest computed polymorph (meV per atom): 23


[5]
Material: CuAg4F8
Method: DFT, PBE-GGA
State: relaxed

```
CuAg4F8
1.0
3.467 2.001 5.301
-3.467 2.001 5.301
0.000 -4.003 5.301
Cu Ag F
1 4 8
Cartesian
0.000 0.000 0.000 Cu
-3.467 0.000 7.951 Ag
-1.733 1.001 2.650 Ag
1.733 1.001 2.650 Ag
0.000 0.000 7.951 Ag
-2.037 -1.176 9.432 F
0.000 -2.352 6.470 F
-2.037 1.176 6.470 F
0.000 0.000 3.596 F
0.000 0.000 12.305 F
2.037 -1.176 9.432 F
0.000 2.352 9.432 F
2.037 1.176 6.470 F
```

Summary:
Formation energy from raw total energies (eV/atom): -1.0895


[6]
Material: LiAcNiHg
Method: DFT, PBE-GGA
State: relaxed

```
LiAcNiHg
1.0
0.000 3.514 3.514
3.514 0.000 3.514
3.514 3.514 0.000
Li Ac Ni Hg
1 1 1 1
Cartesian
0.000 0.000 0.000 Li
5.271 5.271 5.271 Ac
3.514 3.514 3.514 Ni
1.757 1.757 1.757 Hg
```

Summary:
Total energy (eV per cell): -12.6


[7]
Material: SnPdS2
Method: DFT, PBE-GGA
State: relaxed

```
SnPdS2
1.0
3.854 0.000 0.000
0.003 5.292 0.000
0.013 0.009 9.965
Sn Pd S
2 2 4
Cartesian
0.000 0.000 0.000 Sn
1.931 2.648 6.705 Sn
3.862 4.885 4.412 Pd
1.932 2.238 2.294 Pd
0.005 0.961 2.473 S
1.931 3.576 0.312 S
1.935 3.608 4.231 S
3.858 0.932 6.393 S
```

Summary:
Formation energy from raw total energies (eV/atom): -0.2035


[8]
Material: Nd3RhAu
Method: DFT, PBE-GGA
State: relaxed

```
Nd3RhAu
1.0
8.430 0.000 0.000
0.000 4.218 0.000
0.000 0.000 15.813
Nd Rh Au
12 4 4
Cartesian
0.133 1.055 1.561 Nd
1.173 3.164 7.004 Nd
1.503 1.055 11.327 Nd
2.713 3.164 3.420 Nd
3.042 1.055 14.910 Nd
4.082 3.164 9.468 Nd
4.348 1.055 6.345 Nd
5.388 3.164 0.903 Nd
5.718 1.055 12.393 Nd
6.928 3.164 4.486 Nd
7.257 1.055 8.809 Nd
8.298 3.164 14.251 Nd
1.931 3.164 0.696 Rh
2.284 1.055 8.603 Rh
6.147 3.164 7.210 Rh
6.499 1.055 15.117 Rh
0.875 1.055 4.687 Au
3.340 3.164 12.593 Au
5.090 1.055 3.220 Au
7.555 3.164 11.126 Au
```

Summary:
Total energy (eV per cell): -112.2


[9]
Material: Na5B2Se5
Method: DFT, PBE-GGA
State: relaxed

```
Na5B2Se5
1.0
6.531 -1.915 0.000
6.531 1.915 0.000
-2.591 0.000 10.147
Na B Se
5 2 5
Cartesian
0.000 0.000 0.000 Na
0.544 0.000 5.935 Na
1.384 0.000 8.858 Na
9.087 0.000 1.289 Na
9.928 0.000 4.212 Na
4.286 0.000 7.156 B
6.185 0.000 2.990 B
0.862 0.000 2.934 Se
4.766 0.000 1.521 Se
5.236 0.000 5.073 Se
5.706 0.000 8.625 Se
9.610 0.000 7.213 Se
```

Summary:
Formation energy from raw total energies (eV/atom): -0.4520


[10]
Material: ReSnOs
Method: DFT, PBE-GGA
State: relaxed

```
ReSnOs
1.0
13.247 0.000 0.000
0.000 1.458 2.579
0.000 -1.458 2.579
Re Sn Os
2 2 2
Cartesian
2.074 0.000 0.000 Re
11.173 0.000 0.000 Re
4.425 0.000 3.212 Sn
8.823 0.000 3.212 Sn
0.000 0.000 1.683 Os
6.624 0.000 1.438 Os
```

Summary:
Total energy (eV per cell): -52.5


[11]
Material: LiTlHgBr4
Method: DFT, PBE-GGA
State: relaxed

```
LiTlHgBr4
1.0
6.803 0.000 0.000
0.000 7.875 0.000
-1.768 0.000 8.726
Li Tl Hg Br
2 2 2 8
Cartesian
0.755 1.969 2.776 Li
4.280 5.906 5.950 Li
0.336 1.969 8.181 Tl
4.699 5.906 0.545 Tl
0.832 5.906 5.640 Hg
4.203 1.969 3.086 Hg
-0.721 1.969 4.870 Br
-0.879 5.906 7.887 Br
2.465 0.055 2.338 Br
2.465 3.883 2.338 Br
2.570 3.992 6.388 Br
2.570 7.820 6.388 Br
5.913 1.969 0.839 Br
5.756 5.906 3.857 Br
```

Summary:
Formation energy from raw total energies (eV/atom): -0.8452


[12]
Material: NiRuBr2
Method: DFT, PBE-GGA
State: relaxed

```
NiRuBr2
1.0
-1.801 1.801 6.287
1.801 -1.801 6.287
1.801 1.801 -6.287
Ni Ru Br
1 1 2
Cartesian
0.000 0.000 0.000 Ni
1.801 0.000 3.144 Ru
0.000 0.000 6.287 Br
0.000 1.801 3.144 Br
```

Summary:
ΔE to the lowest computed polymorph (meV per atom): 636
Formation energy from raw total energies (eV/atom): 0.8088